30
Lattice="7.8453 -0.0845 0.0000 -6.2158 4.8967 0.0000 0.0000 0.0000 8.6503" Properties=species:S:1:pos:R:3 comment="Na10B17C3 | the Alexandria database | PBE | optimized geometry" ef_ev_per_atom=0.23 energy_ev_per_atom=-4.918 relative_energy_mev_per_atom=24 magmom_total_mub_per_fu=0.00 dos_at_fermi_per_ev_cell=6.8 volume_a3_per_fu=328 pbc="T T T"
Na -3.4104 3.8974 4.3129
Na 5.0367 0.9095 4.3163
Na -0.5865 2.9063 8.6485
Na 2.2212 1.9038 4.3216
Na -3.4104 3.8974 0.0122
Na 2.2212 1.9038 0.0035
Na 5.0367 0.9095 0.0089
Na -0.5865 2.9063 4.3271
Na -0.0043 0.0073 4.3225
Na -0.0043 0.0073 0.0026
B 0.5740 1.6324 6.4878
B 1.6468 0.3557 2.1626
B -1.5791 4.2258 6.4878
B 0.0466 4.5012 2.1626
B -1.7326 4.1709 2.1626
B 3.9280 2.1851 6.4878
B 0.9915 3.3338 6.4878
B 2.6510 3.5105 2.1626
B -2.2796 2.6229 6.4878
B 3.3303 0.5296 6.4878
B 2.7636 3.4448 6.4878
B -2.1616 2.4668 2.1626
B 3.3887 0.5635 2.1626
B 1.6267 0.3169 6.4878
B 0.4781 1.6856 2.1626
B 3.8615 2.2564 2.1626
B -1.1324 1.2816 6.4878
C -0.0297 4.5537 6.4878
C -1.1206 1.2657 2.1626
C 1.0480 3.2195 2.1626

---

15
Lattice="7.0171 0.0000 4.0513 2.3390 6.6158 4.0513 0.0000 0.0000 8.1027" Properties=species:S:1:pos:R:3 comment="Nd6ErS8 | the Alexandria database | PBE | optimized geometry" energy_ev_per_atom=-6.464 relative_energy_mev_per_atom=0 magmom_total_mub_per_fu=0.00 dos_at_fermi_per_ev_cell=6.8 e_form_raw_ev_per_atom=-2.05 volume_a3_per_fu=376 pbc="T T T"
Nd 0.0000 0.0000 4.0513
Nd 1.1695 3.3079 6.0770
Nd 1.1695 3.3079 2.0257
Nd 3.5086 0.0000 6.0770
Nd 3.5086 0.0000 2.0257
Nd 4.6781 3.3079 4.0513
S 3.4651 5.0233 10.2036
S 7.0171 4.9619 12.1540
S 5.8911 1.5925 10.2036
S 5.8911 1.5925 6.0017
S 3.4651 5.0233 6.0017
S 2.3390 1.6540 4.0513
S 2.2521 1.5925 8.1027
S 7.1041 5.0233 8.1027
Er 0.0000 0.0000 0.0000